VASP calculation (PBE with a Hubbard U) on crystalline Na2AlCrF8 at its relaxed geometry.

```
data_Na2AlCrF8
_chemical_formula_sum 'Na2 Al1 Cr1 F8'
_cell_length_a 5.022
_cell_length_b 6.101
_cell_length_c 5.034
_cell_angle_alpha 90.00
_cell_angle_beta 93.04
_cell_angle_gamma 90.00
_symmetry_space_group_name_H-M 'P 1 2/m 1'
_symmetry_Int_Tables_number 10
loop_
_symmetry_equiv_pos_as_xyz
'x,y,z'
'-x,-y,-z'
'-x,y,-z'
'x,-y,z'
loop_
_atom_site_label
_atom_site_fract_x
_atom_site_fract_y
_atom_site_fract_z
_atom_site_occupancy
Na1 0.000 0.243 0.000 1
Al1 0.500 0.000 0.500 1
Cr1 0.500 0.500 0.500 1
F1 0.227 0.500 0.225 1
F2 0.246 0.000 0.244 1
F3 0.331 0.239 0.667 1
```

Calculated values
Volume   154.02 Å³/f.u.
Total energy   -65.10 eV/cell
Fermi-level density of states   0.0 states/eV/f.u.